No. 1
The following is a PBE calculation of crystalline AcBeCu at its relaxed geometry, from the Open Quantum Materials Database.

Values from the calculation:
Polymorph energy (0 for the lowest one) (meV/atom): 466
Total magnetization (μB per formula unit): 0.002
Space-group type: No. 216

The structure in POSCAR format:
```
AcBeCu
1.0
-2.255 1.228 4.189
-4.791 1.091 -0.017
-3.229 -3.085 2.048
Ac Be Cu
1 1 1
Cartesian
0.000 0.000 0.000
-2.569 -0.192 1.555
-7.706 -0.575 4.665
```

No. 2
The following is a PBE calculation of crystalline TcO2 at its relaxed geometry, from the Open Quantum Materials Database.

Values from the calculation:
Polymorph energy (0 for the lowest one) (meV/atom): 0
Total magnetization (μB per formula unit): 0.003
Space-group type: No. 14

The structure in POSCAR format:
```
TcO2
1.0
-2.392 3.300 -3.677
2.335 -2.251 -3.539
-2.547 -4.754 1.343
O Tc
8 4
Cartesian
-1.639 1.828 -4.256
-0.758 0.220 -2.013
-0.755 -1.372 -4.255
0.584 -3.422 -2.706
-3.188 -0.283 -3.166
-1.849 -2.333 -1.618
-1.846 -3.924 -3.859
-0.965 -5.533 -1.616
-2.306 1.371 -2.427
-0.168 -1.596 -2.385
-2.436 -2.108 -3.488
-0.298 -5.075 -3.446
```

No. 3
The following is a PBE calculation of crystalline HfMgTe2 at its relaxed geometry, from the Open Quantum Materials Database.

Values from the calculation:
E_tot (eV/atom): -4.20
Total magnetization (μB per formula unit): 0.077
Space-group type: No. 216

The structure in POSCAR format:
```
HfMgTe2
1.0
0.000 3.682 3.682
3.682 0.000 3.682
3.682 3.682 0.000
Hf Mg Te
1 1 2
Cartesian
1.841 1.841 1.841
3.682 3.682 3.682
0.000 0.000 0.000
5.523 5.523 5.523
```

No. 4
The following is a PBE calculation of crystalline DyPbAuSeS2 at its relaxed geometry, from the Open Quantum Materials Database.

Values from the calculation:
E_tot (eV/atom): -4.84
Total magnetization (μB per formula unit): 0.003
Space-group type: No. 63

The structure in POSCAR format:
```
DyPbAuSeS2
1.0
2.024 -6.716 0.000
2.024 6.716 0.000
0.000 0.000 10.790
Au Dy Pb S Se
2 2 2 4 2
Cartesian
2.024 -0.789 2.698
2.024 0.789 8.093
0.000 0.000 0.000
0.000 0.000 5.395
2.024 3.450 2.698
2.024 -3.450 8.093
2.024 -1.822 0.504
2.024 -1.822 4.891
2.024 1.822 5.899
2.024 1.822 10.286
2.024 -5.516 2.698
2.024 5.516 8.093
```

No. 5
The following is a PBE calculation of crystalline DyBiBr2O2 at its relaxed geometry, from the Open Quantum Materials Database.

Values from the calculation:
E_tot (eV/atom): -5.66
Total magnetization (μB per formula unit): 0.003
Space-group type: No. 99

The structure in POSCAR format:
```
DyBiBr2O2
1.0
3.869 0.000 0.000
0.000 3.869 0.000
0.000 0.000 8.420
Bi Br Dy O
1 2 1 2
Cartesian
0.000 0.000 1.214
1.935 1.935 2.889
0.000 0.000 5.634
1.935 1.935 7.217
1.935 0.000 8.362
0.000 1.935 8.362
```

No. 6
The following is a PBE calculation of crystalline TaZnNiGe at its relaxed geometry, from the Open Quantum Materials Database.

Values from the calculation:
E_tot (eV/atom): -5.71
Total magnetization (μB per formula unit): 0.001
Space-group type: No. 216

The structure in POSCAR format:
```
TaZnNiGe
1.0
-1.178 -3.992 1.299
-1.024 -0.720 4.177
-4.137 -0.795 1.125
Ge Ni Ta Zn
1 1 1 1
Cartesian
0.000 0.000 0.000
-4.754 -4.130 4.951
-1.585 -1.377 1.650
-3.169 -2.753 3.301
```

No. 7
The following is a PBE calculation of crystalline SrAlAsPd2 at its relaxed geometry, from the Open Quantum Materials Database.

Values from the calculation:
Polymorph energy (0 for the lowest one) (meV/atom): 0
Space-group type: No. 129

The structure in POSCAR format:
```
SrAlAsPd2
1.0
4.372 0.000 0.000
0.000 4.372 0.000
0.000 0.000 10.466
Al As Pd Sr
2 2 4 2
Cartesian
0.000 0.000 5.233
2.186 2.186 5.233
2.186 0.000 1.390
0.000 2.186 9.076
0.000 0.000 0.000
2.186 2.186 0.000
2.186 0.000 3.921
0.000 2.186 6.545
0.000 2.186 2.507
2.186 0.000 7.959
```

No. 8
The following is a PBE calculation of crystalline ZrIn2Au at its relaxed geometry, from the Open Quantum Materials Database.

Values from the calculation:
E_tot (eV/atom): -4.39
Total magnetization (μB per formula unit): 0.010
Space-group type: No. 216

The structure in POSCAR format:
```
ZrIn2Au
1.0
-4.686 -1.115 1.185
-3.751 2.128 -2.450
-2.772 -2.689 -3.112
Au In Zr
1 2 1
Cartesian
-8.407 -1.257 -3.283
0.000 0.000 0.000
-2.802 -0.419 -1.094
-5.605 -0.838 -2.189
```

No. 9
The following is a PBE calculation of crystalline GdCd2Au5 at its relaxed geometry, from the Open Quantum Materials Database.

Values from the calculation:
ΔE_f (eV per atom): -0.3571
Total magnetization (μB per formula unit): 0.002
Space-group type: No. 38

The structure in POSCAR format:
```
GdCd2Au5
1.0
4.877 0.000 0.000
0.000 3.324 4.995
0.000 -3.324 4.995
Au Cd Gd
5 2 1
Cartesian
2.438 0.000 0.915
2.438 1.584 3.398
0.000 1.578 6.596
2.438 -1.584 3.398
0.000 -1.578 6.596
0.000 0.000 3.962
2.438 0.000 5.960
0.000 0.000 9.134
```

No. 10
The following is a PBE calculation of crystalline NbFe2Ir at its relaxed geometry, from the Open Quantum Materials Database.

Values from the calculation:
ΔE_f (eV per atom): -0.1413
Total magnetization (μB per formula unit): 5.136
Space-group type: No. 216

The structure in POSCAR format:
```
NbFe2Ir
1.0
0.000 3.051 3.051
3.051 0.000 3.051
3.051 3.051 0.000
Fe Ir Nb
2 1 1
Cartesian
0.000 0.000 0.000
4.576 4.576 4.576
1.525 1.525 1.525
3.051 3.051 3.051
```

No. 11
The following is a PBE calculation of crystalline RbSmHoSe3 at its relaxed geometry, from the Open Quantum Materials Database.

Values from the calculation:
E_tot (eV/atom): -5.01
Total magnetization (μB per formula unit): 0.086
Space-group type: No. 63

The structure in POSCAR format:
```
RbSmHoSe3
1.0
-1.034 7.254 -3.656
0.769 -8.110 -0.830
-11.257 -1.158 0.885
Ho Rb Se Sm
2 2 6 2
Cartesian
-3.792 6.484 -3.347
-7.730 -8.498 -0.254
-2.477 -4.715 -1.287
-9.044 2.700 -2.315
-1.374 5.314 -3.266
-3.059 0.245 -2.199
-5.881 4.850 -2.912
-5.640 -6.865 -0.689
-8.462 -2.260 -1.402
-10.148 -7.329 -0.335
-0.132 -0.428 -2.243
-5.761 -1.007 -1.801
```

No. 12
The following is a PBE calculation of crystalline TaCoSiMo at its relaxed geometry, from the Open Quantum Materials Database.

Values from the calculation:
Polymorph energy (0 for the lowest one) (meV/atom): 0
Total magnetization (μB per formula unit): 0.000
Space-group type: No. 216

The structure in POSCAR format:
```
TaCoSiMo
1.0
-2.570 -2.749 -2.078
-4.263 0.243 0.504
-2.471 1.391 -3.232
Co Mo Si Ta
1 1 1 1
Cartesian
-6.978 -0.836 -3.605
-2.326 -0.279 -1.202
0.000 0.000 0.000
-4.652 -0.558 -2.403
```